(a)
The following is a DFT calculation (GGA-PBE) of an optimized crystal structure of CsMgP2S.

Computed properties:
- SG = P4/mmm
- total magnetization (μB/f.u.) = 1.6

Cell and atoms, written as extended XYZ:
```
5
Lattice="5.652 0.000 0.000 0.000 5.652 0.000 0.000 0.000 5.314" Properties=species:S:1:pos:R:3 pbc="T T T"
Cs 0.000 0.000 0.000
P 2.826 0.000 0.000
P 0.000 2.826 0.000
S 0.000 0.000 2.657
Mg 2.826 2.826 2.657
```

(b)
The following is a DFT calculation (GGA-PBE) of an optimized crystal structure of CsMgP2S.

Computed properties:
- SG = P4/mmm
- total magnetization (μB/f.u.) = 1.0

Cell and atoms, written as extended XYZ:
```
5
Lattice="5.070 0.000 0.000 0.000 5.070 0.000 0.000 0.000 5.155" Properties=species:S:1:pos:R:3 pbc="T T T"
P 2.535 0.000 0.000
P 0.000 2.535 0.000
S 0.000 0.000 2.578
Mg 0.000 0.000 0.000
Cs 2.535 2.535 2.578
```

Most stable structure: (b)

(a)
The following is a DFT calculation (GGA-PBE) of an optimized crystal structure of CsMgPS2.

Computed properties:
- SG = P4/mmm
- total magnetization (μB/f.u.) = 0.9

Cell and atoms, written as extended XYZ:
```
5
Lattice="-5.013 -0.907 -0.209 0.605 -4.044 3.045 -0.712 2.984 4.104" Properties=species:S:1:pos:R:3 pbc="T T T"
Cs -2.560 -0.984 3.470
Mg 0.000 0.000 0.000
S 0.302 -2.022 1.523
S -2.506 -0.454 -0.105
P -0.356 1.492 2.052
```

(b)
The following is a DFT calculation (GGA-PBE) of an optimized crystal structure of CsMgPS2.

Computed properties:
- SG = P4/mmm
- total magnetization (μB/f.u.) = 1.0

Cell and atoms, written as extended XYZ:
```
5
Lattice="-1.275 3.089 4.195 -5.198 -0.468 -1.235 -0.370 -4.674 3.329" Properties=species:S:1:pos:R:3 pbc="T T T"
S -2.599 -0.234 -0.618
S -0.638 1.544 2.098
Cs 0.000 0.000 0.000
Mg -3.422 -1.027 3.144
P -0.185 -2.337 1.665
```

Most stable structure: (a)

(a)
The following is a DFT calculation (GGA-PBE) of an optimized crystal structure of CsMgPb3.

Computed properties:
- SG = Pm-3m
- total magnetization (μB/f.u.) = 0.0

Cell and atoms, written as extended XYZ:
```
5
Lattice="6.426 0.000 0.000 0.000 6.426 0.000 0.000 0.000 6.426" Properties=species:S:1:pos:R:3 pbc="T T T"
Cs 0.000 0.000 0.000
Pb 0.000 0.000 3.213
Pb 3.213 0.000 0.000
Pb 0.000 3.213 0.000
Mg 3.213 3.213 3.213
```

(b)
The following is a DFT calculation (GGA-PBE) of an optimized crystal structure of CsMgPb3.

Computed properties:
- SG = Cm
- total magnetization (μB/f.u.) = 0.0

Cell and atoms, written as extended XYZ:
```
5
Lattice="5.073 -0.001 1.752 -0.606 5.042 1.759 0.291 0.327 7.374" Properties=species:S:1:pos:R:3 pbc="T T T"
Pb 3.677 3.020 3.386
Pb 0.592 2.401 4.093
Pb 2.821 4.924 5.845
Cs 2.165 1.315 7.751
Mg -0.172 4.411 6.282
```

Most stable structure: (b)

(a)
The following is a DFT calculation (GGA-PBE) of an optimized crystal structure of CsMgPb3.

Computed properties:
- SG = P6_3/mmc
- total magnetization (μB/f.u.) = 0.0

Cell and atoms, written as extended XYZ:
```
10
Lattice="6.772 0.000 0.000 0.000 7.801 0.000 0.000 -3.901 6.754" Properties=species:S:1:pos:R:3 pbc="T T T"
Mg 3.386 0.000 0.000
Mg 0.000 0.000 0.000
Pb 5.079 0.000 2.596
Pb 5.079 -1.652 5.457
Pb 1.693 5.552 1.297
Pb 1.693 3.900 4.159
Pb 5.079 1.652 5.457
Pb 1.693 2.249 1.298
Cs 5.079 3.901 2.252
Cs 1.693 0.000 4.502
```

(b)
The following is a DFT calculation (GGA-PBE) of an optimized crystal structure of CsMgPb3.

Computed properties:
- SG = Pm-3m
- total magnetization (μB/f.u.) = 0.0

Cell and atoms, written as extended XYZ:
```
5
Lattice="5.766 0.000 0.000 0.000 5.766 0.000 0.000 0.000 5.766" Properties=species:S:1:pos:R:3 pbc="T T T"
Pb 0.000 0.000 2.883
Pb 2.883 0.000 0.000
Pb 0.000 2.883 0.000
Mg 0.000 0.000 0.000
Cs 2.883 2.883 2.883
```

Most stable structure: (a)